Compound: SrN
Source: the Alexandria database
Functional: PBE
Structure: optimized geometry

```
SrN
1.0
-4.3897 4.3897 2.6393
4.3897 -4.3897 2.6393
4.3897 4.3897 -2.6393
Sr N
4 4
Cartesian
5.7291 1.3394 0.0000
1.3394 3.0503 0.0000
3.0503 1.3394 2.6393
-1.3394 3.0503 2.6393
3.1377 1.2520 0.0000
3.1377 -1.2520 2.6393
1.2520 5.6416 0.0000
1.2520 3.1377 2.6393
```

Summary:
* formation energy without anion corrections: 0.024 eV/atom
* space group: I4/mcm